An optimized crystal structure of TaNiW3. Source: Alexandria, functional PBE-GGA.

Lattice parameters (Å, degrees): 4.474 4.474 4.474 90.00 90.00 90.00
Space group Pm-3m (No. 221)
One atom of each set of equivalent atoms:
Ta: 0.000 0.000 0.000 x1
Ni: 0.500 0.500 0.500 x1
W: 0.000 0.500 0.500 x3

Results
As for the excess energy over the best structure of this formula in the dataset: 0.0000 eV per atom. The crystal system is cubic. Its density of states at the Fermi level is 8.1 states/eV/f.u. The value obtained for the total DFT energy (no corrections) is -0.364 hartree per atom.

An optimized crystal structure of Ta2NiW2. Source: Alexandria, functional PBE-GGA.

Lattice parameters (Å, degrees): 6.491 6.491 4.050 90.00 90.00 90.00
Space group P4/mbm (No. 127)
One atom of each set of equivalent atoms:
Ta: 0.146 0.354 0.000 x4
Ni: 0.000 0.000 0.000 x2
W: 0.173 0.673 0.500 x4

Results
As for the excess energy over the best structure of this formula in the dataset: 0.0000 eV per atom. The crystal system is tetragonal. Its density of states at the Fermi level is 5.3 states/eV/f.u. The value obtained for the total DFT energy (no corrections) is -0.382 hartree per atom.

An optimized crystal structure of Ta2Ni2W. Source: Alexandria, functional PBE-GGA.

Lattice parameters (Å, degrees): 6.993 6.993 3.044 90.00 90.00 90.00
Space group P4/mbm (No. 127)
One atom of each set of equivalent atoms:
Ta: 0.179 0.321 0.000 x4
Ni: 0.120 0.620 0.500 x4
W: 0.000 0.000 0.500 x2

Results
As for the excess energy over the best structure of this formula in the dataset: 0.0000 eV per atom. The crystal system is tetragonal. Its density of states at the Fermi level is 4.2 states/eV/f.u. The value obtained for the total DFT energy (no corrections) is -0.356 hartree per atom.

An optimized crystal structure of TaNiW. Source: Alexandria, functional PBE-GGA.

Lattice parameters (Å, degrees): 5.866 5.866 5.866 90.00 90.00 90.00
Space group F-43m (No. 216)
One atom of each set of equivalent atoms:
Ta: 0.000 0.000 0.000 x4
Ni: 0.250 0.250 0.750 x4
W: 0.000 0.000 0.500 x4

Results
As for the excess energy over the best structure of this formula in the dataset: 0.6244 eV per atom. The crystal system is cubic. Its density of states at the Fermi level is 3.7 states/eV/f.u. The value obtained for the total DFT energy (no corrections) is -0.355 hartree per atom.

An optimized crystal structure of TaNi3W. Source: Alexandria, functional PBE-GGA.

Lattice parameters (Å, degrees): 4.399 4.399 4.399 90.00 90.00 90.00
Space group Pm-3m (No. 221)
One atom of each set of equivalent atoms:
Ta: 0.000 0.000 0.000 x1
Ni: 0.000 0.500 0.500 x3
W: 0.500 0.500 0.500 x1

Results
As for the excess energy over the best structure of this formula in the dataset: 0.0000 eV per atom. The crystal system is cubic. Its density of states at the Fermi level is 6.8 states/eV/f.u. The value obtained for the total DFT energy (no corrections) is -0.258 hartree per atom.

An optimized crystal structure of TaNiW4. Source: Alexandria, functional PBE-GGA.

Lattice parameters (Å, degrees): 7.411 7.411 7.411 90.00 90.00 90.00
Space group F-43m (No. 216)
One atom of each set of equivalent atoms:
Ta: 0.000 0.000 0.000 x4
Ni: 0.250 0.250 0.250 x4
W: 0.125 0.125 0.625 x16

Results
The crystal system is cubic. Its density of states at the Fermi level is 8.4 states/eV/f.u. The value obtained for the total DFT energy (no corrections) is -0.409 hartree per atom.

An optimized crystal structure of Ta2NiW4. Source: Alexandria, functional PBE-GGA.

Lattice parameters (Å, degrees): 4.467 4.467 13.198 90.00 90.00 90.00
Space group I4/mmm (No. 139)
One atom of each set of equivalent atoms:
Ta: 0.000 0.000 0.124 x4
Ni: 0.000 0.000 0.500 x2
W: 0.000 0.000 0.320 x4
W: 0.000 0.500 0.000 x4

Results
The crystal system is tetragonal. Its density of states at the Fermi level is 9.8 states/eV/f.u. The value obtained for the total DFT energy (no corrections) is -0.375 hartree per atom.

An optimized crystal structure of Ta2Ni2W. Source: Alexandria, functional PBE-GGA.

Lattice parameters (Å, degrees): 3.288 3.288 14.556 90.00 90.00 90.00
Space group I4/mmm (No. 139)
One atom of each set of equivalent atoms:
Ta: 0.000 0.000 0.107 x4
Ni: 0.000 0.500 0.250 x4
W: 0.000 0.000 0.500 x2

Results
As for the excess energy over the best structure of this formula in the dataset: 0.2732 eV per atom. The crystal system is tetragonal. Its density of states at the Fermi level is 5.0 states/eV/f.u. The value obtained for the total DFT energy (no corrections) is -0.346 hartree per atom.

An optimized crystal structure of TaNiW. Source: Alexandria, functional PBE-GGA.

Lattice parameters (Å, degrees): 3.254 3.254 8.636 90.00 90.00 90.00
Space group I4mm (No. 107)
One atom of each set of equivalent atoms:
Ta: 0.000 0.000 0.000 x2
Ni: 0.000 0.000 0.332 x2
W: 0.000 0.000 0.678 x2

Results
As for the excess energy over the best structure of this formula in the dataset: 0.2112 eV per atom. The crystal system is tetragonal. Its density of states at the Fermi level is 3.3 states/eV/f.u. The value obtained for the total DFT energy (no corrections) is -0.370 hartree per atom.

An optimized crystal structure of Ta2Ni9W. Source: Alexandria, functional PBE-GGA.

Lattice parameters (Å, degrees): 4.480 5.862 6.382 111.62 90.04 104.91
Space group P-1 (No. 2)
One atom of each set of equivalent atoms:
Ta: 0.090 0.274 0.071 x2
Ni: 0.164 0.997 0.661 x2
Ni: 0.268 0.767 0.255 x2
Ni: 0.342 0.494 0.819 x2
Ni: 0.422 0.249 0.414 x2
Ni: 0.500 0.000 0.000 x1
W: 0.000 0.500 0.500 x1

Results
The crystal system is triclinic. Its density of states at the Fermi level is 11.8 states/eV/f.u. The value obtained for the total DFT energy (no corrections) is -0.276 hartree per atom.

An optimized crystal structure of TaNiW. Source: Alexandria, functional PBE-GGA.

Lattice parameters (Å, degrees): 4.5282 4.5282 2.6128 90.00 90.00 120.00
Space group P3m1 (No. 156)
One atom of each set of equivalent atoms:
Ta: 0.0000 0.0000 0.0000 x1
Ni: 0.6667 0.3333 0.5031 x1
W: 0.3333 0.6667 0.4987 x1

Results
As for the excess energy over the best structure of this formula in the dataset: 0.2627 eV per atom. The crystal system is trigonal. Its density of states at the Fermi level is 2.9 states/eV/f.u. The value obtained for the total DFT energy (no corrections) is -0.368 hartree per atom.

An optimized crystal structure of TaNiW3. Source: Alexandria, functional PBE-GGA.

Lattice parameters (Å, degrees): 4.741 4.741 4.741 90.00 90.00 90.00
Space group Pm-3m (No. 221)
One atom of each set of equivalent atoms:
Ta: 0.000 0.000 0.000 x1
Ni: 0.500 0.500 0.500 x1
W: 0.000 0.000 0.500 x3

Results
As for the excess energy over the best structure of this formula in the dataset: 1.1283 eV per atom. The crystal system is cubic. Its density of states at the Fermi level is 6.1 states/eV/f.u. The value obtained for the total DFT energy (no corrections) is -0.322 hartree per atom.

An optimized crystal structure of TaNiW. Source: Alexandria, functional PBE-GGA.

Lattice parameters (Å, degrees): 3.460 4.167 12.497 90.00 90.00 90.00
Space group Fmm2 (No. 42)
One atom of each set of equivalent atoms:
Ta: 0.000 0.000 0.000 x4
Ni: 0.000 0.000 0.661 x4
W: 0.000 0.000 0.314 x4

Results
As for the excess energy over the best structure of this formula in the dataset: 0.0468 eV per atom. The crystal system is orthorhombic. Its density of states at the Fermi level is 2.2 states/eV/f.u. The value obtained for the total DFT energy (no corrections) is -0.376 hartree per atom.

An optimized crystal structure of TaNiW. Source: Alexandria, functional PBE-GGA.

Lattice parameters (Å, degrees): 2.718 2.718 12.219 90.00 90.00 90.00
Space group I4mm (No. 107)
One atom of each set of equivalent atoms:
Ta: 0.000 0.000 0.000 x2
Ni: 0.000 0.000 0.340 x2
W: 0.000 0.000 0.690 x2

Results
As for the excess energy over the best structure of this formula in the dataset: 0.0673 eV per atom. The crystal system is tetragonal. Its density of states at the Fermi level is 2.0 states/eV/f.u. The value obtained for the total DFT energy (no corrections) is -0.375 hartree per atom.

An optimized crystal structure of Ta4NiW. Source: Alexandria, functional PBE-GGA.

Lattice parameters (Å, degrees): 7.548 7.548 7.548 90.00 90.00 90.00
Space group F-43m (No. 216)
One atom of each set of equivalent atoms:
Ta: 0.124 0.124 0.124 x16
Ni: 0.000 0.000 0.500 x4
W: 0.250 0.250 0.750 x4

Results
The crystal system is cubic. Its density of states at the Fermi level is 7.4 states/eV/f.u. The value obtained for the total DFT energy (no corrections) is -0.383 hartree per atom.

An optimized crystal structure of TaNiW. Source: Alexandria, functional PBE-GGA.

Lattice parameters (Å, degrees): 4.996 8.420 17.151 90.00 90.00 90.00
Space group Fddd (No. 70, origin choice 2)
One atom of each set of equivalent atoms:
Ta: 0.125 0.297 0.125 x16
Ni: 0.125 0.125 0.001 x16
W: 0.125 0.125 0.547 x16

Results
As for the excess energy over the best structure of this formula in the dataset: 0.0000 eV per atom. The crystal system is orthorhombic. Its density of states at the Fermi level is 2.5 states/eV/f.u. The value obtained for the total DFT energy (no corrections) is -0.378 hartree per atom.

An optimized crystal structure of Ta2NiW2. Source: Alexandria, functional PBE-GGA.

Lattice parameters (Å, degrees): 3.586 3.586 14.000 90.00 90.00 90.00
Space group I4/mmm (No. 139)
One atom of each set of equivalent atoms:
Ta: 0.000 0.000 0.090 x4
Ni: 0.000 0.000 0.500 x2
W: 0.000 0.500 0.250 x4

Results
As for the excess energy over the best structure of this formula in the dataset: 0.2244 eV per atom. The crystal system is tetragonal. Its density of states at the Fermi level is 5.6 states/eV/f.u. The value obtained for the total DFT energy (no corrections) is -0.374 hartree per atom.

An optimized crystal structure of TaNi6W. Source: Alexandria, functional PBE-GGA.

Lattice parameters (Å, degrees): 4.256 5.073 4.508 90.00 90.00 90.00
Space group Pmm2 (No. 25)
One atom of each set of equivalent atoms:
Ta: 0.000 0.000 0.000 x1
Ni: 0.000 0.255 0.493 x2
Ni: 0.000 0.500 0.988 x1
Ni: 0.500 0.000 0.330 x1
Ni: 0.500 0.253 0.810 x2
W: 0.500 0.500 0.304 x1

Results
The crystal system is orthorhombic. Its density of states at the Fermi level is 5.2 states/eV/f.u. The value obtained for the total DFT energy (no corrections) is -0.282 hartree per atom.

An optimized crystal structure of ZrTaNiW. Source: Alexandria, functional PBE-GGA.

Lattice parameters (Å, degrees): 6.461 6.461 6.461 90.00 90.00 90.00
Space group F-43m (No. 216)
One atom of each set of equivalent atoms:
Zr: 0.000 0.000 0.000 x4
Ta: 0.000 0.000 0.500 x4
Ni: 0.250 0.250 0.250 x4
W: 0.250 0.250 0.750 x4

Results
The crystal system is cubic. Its density of states at the Fermi level is 3.3 states/eV/f.u. The value obtained for the total DFT energy (no corrections) is -0.362 hartree per atom.

An optimized crystal structure of Y2TaNi. Source: Alexandria, functional PBE-GGA.

Lattice parameters (Å, degrees): 4.169 4.169 9.986 90.00 90.00 90.00
Space group I-4m2 (No. 119)
One atom of each set of equivalent atoms:
Y: 0.000 0.000 0.000 x2
Y: 0.000 0.500 0.250 x2
Ta: 0.000 0.000 0.500 x2
Ni: 0.000 0.500 0.750 x2

Results
As for the excess energy over the best structure of this formula in the dataset: 0.3964 eV per atom. The crystal system is tetragonal. Its density of states at the Fermi level is 5.9 states/eV/f.u. The value obtained for the total DFT energy (no corrections) is -0.266 hartree per atom.